! PCl | the Alexandria database | GGA-PBE | optimized geometry; values from VASP
&SYSTEM
  ibrav = 0, nat = 8, ntyp = 2
/
ATOMIC_SPECIES
P 30.97 P.upf
Cl 35.45 Cl.upf
CELL_PARAMETERS angstrom
1.951 1.196 4.654
-5.088 0.480 -0.879
-1.555 -10.401 3.325
ATOMIC_POSITIONS angstrom
P -2.992 -0.958 1.501
P -1.424 -5.920 5.008
P -1.700 -7.767 5.598
P -3.269 -2.806 2.091
Cl -0.389 -2.600 0.831
Cl -1.167 -7.801 2.494
Cl -3.908 -7.082 3.459
Cl -0.784 -1.643 3.640
! - calculated volume (Å³/atom) = 32.11
! - space-group type = P6_3/mmc
! - spin magnetization (μB/atom) = 0.000
! - total DFT energy (no corrections) (eV per atom) = -2.978
! - calculated density (g/cm3) = 1.72


! PCl3 | the Alexandria database | GGA-PBE | optimized geometry; values from VASP
&SYSTEM
  ibrav = 0, nat = 4, ntyp = 2
/
ATOMIC_SPECIES
P 30.97 P.upf
Cl 35.45 Cl.upf
CELL_PARAMETERS angstrom
0.000 3.346 3.346
3.346 0.000 3.346
3.346 3.346 0.000
ATOMIC_POSITIONS angstrom
P 0.000 0.000 0.000
Cl 1.673 1.673 1.673
Cl 5.018 5.018 5.018
Cl 3.346 3.346 3.346
! - calculated volume (Å³/atom) = 18.72
! - space-group type = Fm-3m
! - spin magnetization (μB/atom) = 0.000
! - total DFT energy (no corrections) (eV per atom) = -2.076
! - calculated density (g/cm3) = 3.04


! PCl4 | the Alexandria database | GGA-PBE | optimized geometry; values from VASP
&SYSTEM
  ibrav = 0, nat = 10, ntyp = 2
/
ATOMIC_SPECIES
P 30.97 P.upf
Cl 35.45 Cl.upf
CELL_PARAMETERS angstrom
5.456 0.000 1.570
2.544 6.836 1.423
-0.047 0.151 10.428
ATOMIC_POSITIONS angstrom
P 2.101 1.822 8.609
P 5.852 5.164 4.813
Cl 5.917 2.005 11.365
Cl 2.712 0.380 2.977
Cl 1.342 1.639 6.733
Cl 5.241 6.607 10.445
Cl 5.127 3.114 4.846
Cl 6.611 5.348 6.689
Cl 2.826 3.873 8.576
Cl 2.036 4.981 2.057
! - calculated volume (Å³/atom) = 38.89
! - space-group type = C2/c
! - spin magnetization (μB/atom) = 0.200
! - total DFT energy (no corrections) (eV per atom) = -3.081
! - calculated density (g/cm3) = 1.48


Question: What is the calculated density in the second record?
Answer: 3.04 g/cm3